VASP calculation (PBE) on Cs5CdF8 after structural relaxation.

Results
mass density	4.49	g cm⁻³
formation energy without anion corrections	-32.96	eV per formula unit

```
data_Cs5CdF8
_space_group_name_H-M_alt 'I -4'
_space_group_IT_number 82
_cell_length_a 8.6574
_cell_length_b 8.6574
_cell_length_c 9.1719
_cell_angle_alpha 90.00
_cell_angle_beta 90.00
_cell_angle_gamma 90.00
loop_
_space_group_symop_operation_xyz
'x,y,z'
'y,-x,-z'
'-x,-y,z'
'-y,x,-z'
'x+1/2,y+1/2,z+1/2'
'y+1/2,-x+1/2,-z+1/2'
'-x+1/2,-y+1/2,z+1/2'
'-y+1/2,x+1/2,-z+1/2'
loop_
_atom_site_label
_atom_site_fract_x
_atom_site_fract_y
_atom_site_fract_z
Cs1 0.0000 0.0000 0.0000
Cs2 0.1326 0.7428 0.6171
Cd1 0.0000 0.5000 0.2500
F1 0.0518 0.7413 0.2903
F2 0.0843 0.6806 0.9377
```



VASP calculation (PBE) on Sr2Al4ZnCd3 after structural relaxation.

Results
E_form	-0.1882	eV per atom
mass density	4.80	g cm⁻³

```
data_Sr2Al4ZnCd3
_space_group_name_H-M_alt 'P -4 m 2'
_space_group_IT_number 115
_cell_length_a 4.5235
_cell_length_b 4.5235
_cell_length_c 11.6061
_cell_angle_alpha 90.00
_cell_angle_beta 90.00
_cell_angle_gamma 90.00
loop_
_space_group_symop_operation_xyz
'x,y,z'
'y,-x,-z'
'-x,-y,z'
'-y,x,-z'
'-x,y,z'
'-y,-x,-z'
'x,-y,z'
'y,x,-z'
loop_
_atom_site_label
_atom_site_fract_x
_atom_site_fract_y
_atom_site_fract_z
Sr1 0.0000 0.5000 0.2420
Al1 0.0000 0.0000 0.5000
Al2 0.0000 0.5000 0.8729
Al3 0.5000 0.5000 0.5000
Zn1 0.5000 0.5000 0.0000
Cd1 0.0000 0.0000 0.0000
Cd2 0.0000 0.5000 0.6408
```



VASP calculation (PBE) on Li2HfCrP after structural relaxation.

Results
E_form	1.5213	eV per atom
mass density	4.13	g cm⁻³

```
data_Li2HfCrP
_space_group_name_H-M_alt 'P 4/m m m'
_space_group_IT_number 123
_space_group_name_Hall '-P 4 2'
_cell_length_a 4.9727
_cell_length_b 4.9727
_cell_length_c 4.4774
_cell_angle_alpha 90.00
_cell_angle_beta 90.00
_cell_angle_gamma 90.00
loop_
_atom_site_label
_atom_site_fract_x
_atom_site_fract_y
_atom_site_fract_z
Li1 0.0000 0.5000 0.0000
Hf1 0.0000 0.0000 0.0000
Cr1 0.0000 0.0000 0.5000
P1 0.5000 0.5000 0.5000
```



VASP calculation (PBE) on BeAs2Rh after structural relaxation.

Results
E_form	-0.1160	eV per atom
mass density	6.61	g cm⁻³

```
data_BeAs2Rh
_space_group_name_H-M_alt 'C 1 m 1'
_space_group_IT_number 8
_cell_length_a 7.6560
_cell_length_b 3.1139
_cell_length_c 5.8710
_cell_angle_alpha 90.00
_cell_angle_beta 109.93
_cell_angle_gamma 90.00
loop_
_space_group_symop_operation_xyz
'x,y,z'
'x,-y,z'
'x+1/2,y+1/2,z'
'x+1/2,-y+1/2,z'
loop_
_atom_site_label
_atom_site_fract_x
_atom_site_fract_y
_atom_site_fract_z
Be1 0.0000 0.0000 0.0000
As1 0.2745 0.5000 0.1938
As2 0.4763 0.0000 0.6247
Rh1 0.2425 0.0000 0.8376
```